The following is a DFT calculation (PBE-GGA) of a geometry-optimized HfNpIrRh structure.

Geometry as POSCAR:
```
HfNpIrRh
1.0
-0.921 -4.118 -2.146
1.576 -4.051 1.875
-3.051 -3.053 1.945
Np Rh Ir Hf
1 1 1 1
direct
0.750 0.750 0.750 Np
0.500 0.500 0.500 Rh
0.000 0.000 0.000 Ir
0.250 0.250 0.250 Hf
```

Total magnetization   3.83 μB per cell
Crystal system   cubic
Energy relative to the elements   -488 meV per atom